Record 1
# GGA-PBE Y4Sn2Hg, relaxed
data_Y4Sn2Hg
_chemical_formula_sum 'Y4 Sn2 Hg1'
_cell_length_a 4.389
_cell_length_b 7.807
_cell_length_c 7.975
_cell_angle_alpha 118.57
_cell_angle_beta 105.97
_cell_angle_gamma 90.00
_space_group_name_H-M_alt 'P 1'
_space_group_IT_number 1
loop_
_space_group_symop_operation_xyz
'x,y,z'
loop_
_atom_site_label
_atom_site_type_symbol
_atom_site_fract_x
_atom_site_fract_y
_atom_site_fract_z
Hg1 Hg 0.000 0.000 0.000
Y1 Y 0.126 0.786 0.251
Sn1 Sn 0.247 0.243 0.494
Y2 Y 0.375 0.687 0.751
Sn2 Sn 0.753 0.757 0.506
Y3 Y 0.625 0.313 0.249
Y4 Y 0.874 0.214 0.749
# Space group: C2/m, No. 12
# DFT formation energy, eV/atom: -0.35

Record 2
# GGA-PBE YSn3Hg, relaxed
data_YSn3Hg
_chemical_formula_sum 'Y4 Sn12 Hg4'
_cell_length_a 9.965
_cell_length_b 6.490
_cell_length_c 8.782
_cell_angle_alpha 90.00
_cell_angle_beta 90.00
_cell_angle_gamma 90.00
_space_group_name_H-M_alt 'P 1'
_space_group_IT_number 1
loop_
_space_group_symop_operation_xyz
'x,y,z'
loop_
_atom_site_label
_atom_site_type_symbol
_atom_site_fract_x
_atom_site_fract_y
_atom_site_fract_z
Y1 Y 0.152 0.250 0.119
Sn1 Sn 0.649 0.250 0.396
Y2 Y 0.652 0.750 0.381
Y3 Y 0.848 0.750 0.881
Sn2 Sn 0.384 0.999 0.290
Sn3 Sn 0.884 0.499 0.210
Sn4 Sn 0.116 0.501 0.790
Sn5 Sn 0.616 0.001 0.710
Sn6 Sn 0.384 0.501 0.290
Sn7 Sn 0.116 0.999 0.790
Sn8 Sn 0.884 0.001 0.210
Y4 Y 0.348 0.250 0.619
Hg1 Hg 0.067 0.250 0.463
Sn9 Sn 0.149 0.750 0.104
Sn10 Sn 0.851 0.250 0.896
Sn11 Sn 0.616 0.499 0.710
Hg2 Hg 0.433 0.250 0.963
Hg3 Hg 0.933 0.750 0.537
Hg4 Hg 0.567 0.750 0.037
Sn12 Sn 0.351 0.750 0.604
# Space group: Pnma, No. 62
# DFT formation energy, eV/atom: -0.28

Record 3
# GGA-PBE YSn2Hg2, relaxed
data_YSn2Hg2
_chemical_formula_sum 'Y1 Sn2 Hg2'
_cell_length_a 4.245
_cell_length_b 4.245
_cell_length_c 8.167
_cell_angle_alpha 74.94
_cell_angle_beta 74.94
_cell_angle_gamma 90.00
_space_group_name_H-M_alt 'P 1'
_space_group_IT_number 1
loop_
_space_group_symop_operation_xyz
'x,y,z'
loop_
_atom_site_label
_atom_site_type_symbol
_atom_site_fract_x
_atom_site_fract_y
_atom_site_fract_z
Sn1 Sn 0.596 0.596 0.807
Hg1 Hg 0.750 0.250 0.500
Y1 Y 0.000 0.000 0.000
Hg2 Hg 0.250 0.750 0.500
Sn2 Sn 0.404 0.404 0.193
# Space group: I4/mmm, No. 139
# DFT formation energy, eV/atom: -0.11

Record 4
# GGA-PBE Y3SnHg5, relaxed
data_Y3SnHg5
_chemical_formula_sum 'Y6 Sn2 Hg10'
_cell_length_a 6.374
_cell_length_b 8.999
_cell_length_c 8.999
_cell_angle_alpha 120.00
_cell_angle_beta 90.00
_cell_angle_gamma 90.00
_space_group_name_H-M_alt 'P 1'
_space_group_IT_number 1
loop_
_space_group_symop_operation_xyz
'x,y,z'
loop_
_atom_site_label
_atom_site_type_symbol
_atom_site_fract_x
_atom_site_fract_y
_atom_site_fract_z
Y1 Y 0.250 0.329 0.000
Y2 Y 0.250 0.671 0.671
Hg1 Hg 0.000 0.667 0.333
Hg2 Hg 0.250 0.000 0.658
Hg3 Hg 0.000 0.333 0.667
Y3 Y 0.750 0.329 0.329
Y4 Y 0.750 0.671 0.000
Hg4 Hg 0.500 0.333 0.667
Sn1 Sn 0.000 0.000 0.000
Y5 Y 0.250 0.000 0.329
Hg5 Hg 0.750 0.342 0.000
Hg6 Hg 0.250 0.658 0.000
Hg7 Hg 0.750 0.000 0.342
Y6 Y 0.750 0.000 0.671
Hg8 Hg 0.750 0.658 0.658
Sn2 Sn 0.500 0.000 0.000
Hg9 Hg 0.250 0.342 0.342
Hg10 Hg 0.500 0.667 0.333
# Space group: P6_3/mcm, No. 193
# DFT formation energy, eV/atom: -0.44

Record 5
# GGA-PBE YSn2Hg, relaxed
data_YSn2Hg
_chemical_formula_sum 'Y1 Sn2 Hg1'
_cell_length_a 4.483
_cell_length_b 4.739
_cell_length_c 4.739
_cell_angle_alpha 90.00
_cell_angle_beta 90.00
_cell_angle_gamma 90.00
_space_group_name_H-M_alt 'P 1'
_space_group_IT_number 1
loop_
_space_group_symop_operation_xyz
'x,y,z'
loop_
_atom_site_label
_atom_site_type_symbol
_atom_site_fract_x
_atom_site_fract_y
_atom_site_fract_z
Sn1 Sn 0.000 0.500 0.000
Y1 Y 0.500 0.000 0.000
Hg1 Hg 0.500 0.500 0.500
Sn2 Sn 0.000 0.000 0.500
# Space group: P4/mmm, No. 123
# DFT formation energy, eV/atom: -0.44

Record 6
# GGA-PBE YSn3Hg, relaxed
data_YSn3Hg
_chemical_formula_sum 'Y1 Sn3 Hg1'
_cell_length_a 5.498
_cell_length_b 5.498
_cell_length_c 5.498
_cell_angle_alpha 90.00
_cell_angle_beta 90.00
_cell_angle_gamma 90.00
_space_group_name_H-M_alt 'P 1'
_space_group_IT_number 1
loop_
_space_group_symop_operation_xyz
'x,y,z'
loop_
_atom_site_label
_atom_site_type_symbol
_atom_site_fract_x
_atom_site_fract_y
_atom_site_fract_z
Sn1 Sn 0.000 0.500 0.000
Sn2 Sn 0.000 0.000 0.500
Y1 Y 0.500 0.500 0.500
Hg1 Hg 0.000 0.000 0.000
Sn3 Sn 0.500 0.000 0.000
# Space group: Pm-3m, No. 221
# DFT formation energy, eV/atom: 0.38

Record 7
# GGA-PBE Y6SnHg5, relaxed
data_Y6SnHg5
_chemical_formula_sum 'Y6 Sn1 Hg5'
_cell_length_a 5.290
_cell_length_b 7.429
_cell_length_c 9.172
_cell_angle_alpha 113.89
_cell_angle_beta 106.76
_cell_angle_gamma 90.00
_space_group_name_H-M_alt 'P 1'
_space_group_IT_number 1
loop_
_space_group_symop_operation_xyz
'x,y,z'
loop_
_atom_site_label
_atom_site_type_symbol
_atom_site_fract_x
_atom_site_fract_y
_atom_site_fract_z
Y1 Y 0.833 0.083 0.666
Y2 Y 0.167 0.917 0.334
Sn1 Sn 0.000 0.000 0.000
Y3 Y 0.500 0.749 0.000
Hg1 Hg 0.333 0.333 0.667
Hg2 Hg 0.000 0.500 0.000
Y4 Y 0.500 0.251 0.000
Y5 Y 0.167 0.417 0.334
Hg3 Hg 0.667 0.667 0.333
Y6 Y 0.833 0.583 0.666
Hg4 Hg 0.672 0.172 0.344
Hg5 Hg 0.328 0.828 0.656
# Space group: Immm, No. 71
# DFT formation energy, eV/atom: -0.55

Record 8
# GGA-PBE YSn3Hg, relaxed
data_YSn3Hg
_chemical_formula_sum 'Y1 Sn3 Hg1'
_cell_length_a 5.857
_cell_length_b 5.857
_cell_length_c 5.857
_cell_angle_alpha 90.00
_cell_angle_beta 90.00
_cell_angle_gamma 90.00
_space_group_name_H-M_alt 'P 1'
_space_group_IT_number 1
loop_
_space_group_symop_operation_xyz
'x,y,z'
loop_
_atom_site_label
_atom_site_type_symbol
_atom_site_fract_x
_atom_site_fract_y
_atom_site_fract_z
Sn1 Sn 0.000 0.500 0.000
Hg1 Hg 0.500 0.500 0.500
Sn2 Sn 0.500 0.000 0.000
Sn3 Sn 0.000 0.000 0.500
Y1 Y 0.000 0.000 0.000
# Space group: Pm-3m, No. 221
# DFT formation energy, eV/atom: 0.43

| no. | Fermi-level density of states (states/eV/f.u.) | E (Ry per atom) |
| --- | --- | --- |
| 1 | 4.72 | -0.3846 |
| 2 | 2.76 | -0.2966 |
| 3 | 2.41 | -0.2299 |
| 4 | 5.23 | -0.2356 |
| 5 | 1.28 | -0.3040 |
| 6 | 2.99 | -0.2480 |
| 7 | 12.28 | -0.3114 |
| 8 | 6.88 | -0.2443 |